Material: GdY2H
Method: DFT, GGA-PBE
State: relaxed

Cell: 8.815 8.815 8.815 Å, 23.64 23.64 23.64°
Element x y z (fractional)
Gd (0.000, 0.000, 0.000)
Y (0.220, 0.220, 0.220)
Y (0.780, 0.780, 0.780)
H (0.500, 0.500, 0.500)

Output
**ΔE to the lowest computed polymorph**: 0.00 eV/f.u.